(1)
# Th4Hg2Os | the Alexandria database | GGA-PBE | optimized geometry
# Spin magnetization (μB per cell): 0.00
# Symmetry: P2/m (10)
# Energy of formation from the pure elements (meV per atom): -122
data_Th4Hg2Os
_chemical_formula_sum 'Th4 Hg2 Os1'
_symmetry_space_group_name_H-M 'P 1'
_symmetry_Int_Tables_number 1
_cell_length_a 3.8087
_cell_length_b 6.5217
_cell_length_c 9.0459
_cell_angle_alpha 110.70
_cell_angle_beta 90.00
_cell_angle_gamma 90.00
loop_
_symmetry_equiv_pos_as_xyz
'x,y,z'
loop_
_atom_site_label
_atom_site_fract_x
_atom_site_fract_y
_atom_site_fract_z
Th1 0.5000 0.2711 0.9328
Hg1 0.5000 0.2946 0.5590
Th2 0.5000 0.8717 0.2101
Os1 0.0000 0.0714 0.0714
Th3 0.0000 0.4671 0.3192
Th4 0.0000 0.6757 0.8237
Hg2 0.5000 0.8482 0.5839

(2)
# Th3Hg2Os | the Alexandria database | GGA-PBE | optimized geometry
# Spin magnetization (μB per cell): 0.00
# Distance to the lowest polymorph of the same formula (eV per atom): 0.0000
# Symmetry: P-1 (2)
# Energy of formation from the pure elements (meV per atom): -292
data_Th3Hg2Os
_chemical_formula_sum 'Th6 Hg4 Os2'
_symmetry_space_group_name_H-M 'P 1'
_symmetry_Int_Tables_number 1
_cell_length_a 5.4196
_cell_length_b 7.4847
_cell_length_c 8.7001
_cell_angle_alpha 89.05
_cell_angle_beta 71.71
_cell_angle_gamma 87.45
loop_
_symmetry_equiv_pos_as_xyz
'x,y,z'
loop_
_atom_site_label
_atom_site_fract_x
_atom_site_fract_y
_atom_site_fract_z
Th1 0.1523 0.0004 0.6975
Th2 0.5356 0.2368 0.9997
Th3 0.1157 0.5001 0.7689
Th4 0.8477 0.9996 0.3025
Th5 0.4644 0.7632 0.0003
Os1 0.0407 0.1981 0.0002
Hg1 0.3132 0.2824 0.3922
Th6 0.8843 0.4999 0.2311
Hg2 0.6868 0.7176 0.6078
Os2 0.9593 0.8019 0.9998
Hg3 0.7062 0.2807 0.6072
Hg4 0.2938 0.7193 0.3928

(3)
# Th4HgOs2 | the Alexandria database | GGA-PBE | optimized geometry
# Spin magnetization (μB per cell): 0.00
# Distance to the lowest polymorph of the same formula (eV per atom): 0.0169
# Symmetry: P1 (1)
# Energy of formation from the pure elements (meV per atom): -283
data_Th4HgOs2
_chemical_formula_sum 'Th8 Hg2 Os4'
_symmetry_space_group_name_H-M 'P 1'
_symmetry_Int_Tables_number 1
_cell_length_a 7.1842
_cell_length_b 7.1391
_cell_length_c 8.6960
_cell_angle_alpha 107.54
_cell_angle_beta 107.75
_cell_angle_gamma 105.30
loop_
_symmetry_equiv_pos_as_xyz
'x,y,z'
loop_
_atom_site_label
_atom_site_fract_x
_atom_site_fract_y
_atom_site_fract_z
Os1 0.6228 0.1869 0.0691
Th1 0.9893 0.2295 0.3968
Os2 0.1557 0.5262 0.9297
Th2 0.7265 0.1373 0.7011
Th3 0.8423 0.5830 0.1033
Os3 0.8034 0.8678 0.4309
Os4 0.4759 0.3464 0.5702
Hg1 0.9780 0.0571 0.0242
Th4 0.4281 0.4960 0.2827
Hg2 0.2039 0.7836 0.4758
Th5 0.4585 0.7256 0.8143
Th6 0.2756 0.1864 0.7993
Th7 0.3958 0.9633 0.2173
Th8 0.8940 0.6611 0.6854

(4)
# Th3Hg2Os | the Alexandria database | GGA-PBE | optimized geometry
# Spin magnetization (μB per cell): 0.00
# Distance to the lowest polymorph of the same formula (eV per atom): 0.0808
# Symmetry: Immm (71)
# Energy of formation from the pure elements (meV per atom): -211
data_Th3Hg2Os
_chemical_formula_sum 'Th3 Hg2 Os1'
_symmetry_space_group_name_H-M 'P 1'
_symmetry_Int_Tables_number 1
_cell_length_a 3.9937
_cell_length_b 6.0400
_cell_length_c 8.2113
_cell_angle_alpha 111.58
_cell_angle_beta 104.07
_cell_angle_gamma 90.00
loop_
_symmetry_equiv_pos_as_xyz
'x,y,z'
loop_
_atom_site_label
_atom_site_fract_x
_atom_site_fract_y
_atom_site_fract_z
Th1 0.6306 0.6306 0.2612
Th2 0.3694 0.3694 0.7388
Th3 0.0000 0.0000 0.0000
Hg1 0.3105 0.8105 0.6210
Os1 0.0000 0.5000 0.0000
Hg2 0.6895 0.1895 0.3790

(5)
# Th4HgOs2 | the Alexandria database | GGA-PBE | optimized geometry
# Spin magnetization (μB per cell): 0.00
# Distance to the lowest polymorph of the same formula (eV per atom): 0.0000
# Symmetry: Cmcm (63)
# Energy of formation from the pure elements (meV per atom): -300
data_Th4HgOs2
_chemical_formula_sum 'Th8 Hg2 Os4'
_symmetry_space_group_name_H-M 'P 1'
_symmetry_Int_Tables_number 1
_cell_length_a 4.1592
_cell_length_b 7.2998
_cell_length_c 13.8687
_cell_angle_alpha 90.00
_cell_angle_beta 90.00
_cell_angle_gamma 106.55
loop_
_symmetry_equiv_pos_as_xyz
'x,y,z'
loop_
_atom_site_label
_atom_site_fract_x
_atom_site_fract_y
_atom_site_fract_z
Os1 0.8698 0.7397 0.9395
Th1 0.0692 0.1385 0.2500
Os2 0.1302 0.2603 0.0605
Th2 0.5000 0.0000 0.5000
Os3 0.1302 0.2603 0.4395
Th3 0.7621 0.5243 0.3870
Os4 0.8698 0.7397 0.5605
Th4 0.2379 0.4757 0.6130
Hg1 0.3922 0.7844 0.2500
Th5 0.2379 0.4757 0.8870
Hg2 0.6078 0.2156 0.7500
Th6 0.5000 0.0000 0.0000
Th7 0.9308 0.8615 0.7500
Th8 0.7621 0.5243 0.1130

(6)
# Th5HgOs2 | the Alexandria database | GGA-PBE | optimized geometry
# Spin magnetization (μB per cell): 0.00
# Symmetry: I4/mcm (140)
# Energy of formation from the pure elements (meV per atom): -316
data_Th5HgOs2
_chemical_formula_sum 'Th10 Hg2 Os4'
_symmetry_space_group_name_H-M 'P 1'
_symmetry_Int_Tables_number 1
_cell_length_a 7.9598
_cell_length_b 7.9598
_cell_length_c 8.8633
_cell_angle_alpha 116.68
_cell_angle_beta 116.68
_cell_angle_gamma 90.00
loop_
_symmetry_equiv_pos_as_xyz
'x,y,z'
loop_
_atom_site_label
_atom_site_fract_x
_atom_site_fract_y
_atom_site_fract_z
Os1 0.1387 0.3613 0.0000
Th1 0.5000 0.5000 0.0000
Th2 0.5226 0.7044 0.7270
Th3 0.0226 0.5226 0.7270
Th4 0.9774 0.4774 0.2730
Os2 0.3613 0.8613 0.0000
Th5 0.0000 0.0000 0.0000
Th6 0.2044 0.0226 0.7270
Os3 0.6387 0.1387 0.0000
Th7 0.7956 0.9774 0.2730
Th8 0.4774 0.2956 0.2730
Th9 0.7044 0.2044 0.7270
Hg1 0.7500 0.7500 0.5000
Hg2 0.2500 0.2500 0.5000
Th10 0.2956 0.7956 0.2730
Os4 0.8613 0.6387 0.0000

(7)
# Th2Hg2Os | the Alexandria database | GGA-PBE | optimized geometry
# Spin magnetization (μB per cell): 0.00
# Symmetry: I4/mmm (139)
# Energy of formation from the pure elements (meV per atom): -218
data_Th2Hg2Os
_chemical_formula_sum 'Th2 Hg2 Os1'
_symmetry_space_group_name_H-M 'P 1'
_symmetry_Int_Tables_number 1
_cell_length_a 3.4103
_cell_length_b 3.4103
_cell_length_c 10.9523
_cell_angle_alpha 98.96
_cell_angle_beta 98.96
_cell_angle_gamma 90.00
loop_
_symmetry_equiv_pos_as_xyz
'x,y,z'
loop_
_atom_site_label
_atom_site_fract_x
_atom_site_fract_y
_atom_site_fract_z
Hg1 0.2006 0.2006 0.4011
Os1 0.0000 0.0000 0.0000
Th1 0.4129 0.4129 0.8257
Th2 0.5871 0.5871 0.1743
Hg2 0.7994 0.7994 0.5989

(8)
# Th6HgOs | the Alexandria database | GGA-PBE | optimized geometry
# Spin magnetization (μB per cell): 0.00
# Symmetry: P-1 (2)
# Energy of formation from the pure elements (meV per atom): 12
data_Th6HgOs
_chemical_formula_sum 'Th6 Hg1 Os1'
_symmetry_space_group_name_H-M 'P 1'
_symmetry_Int_Tables_number 1
_cell_length_a 7.0614
_cell_length_b 8.0710
_cell_length_c 6.0057
_cell_angle_alpha 73.58
_cell_angle_beta 76.58
_cell_angle_gamma 46.38
loop_
_symmetry_equiv_pos_as_xyz
'x,y,z'
loop_
_atom_site_label
_atom_site_fract_x
_atom_site_fract_y
_atom_site_fract_z
Th1 0.1706 0.2877 0.7304
Th2 0.8294 0.7123 0.2696
Th3 0.8820 0.8927 0.6769
Th4 0.5382 0.6871 0.8875
Th5 0.4618 0.3129 0.1125
Th6 0.1180 0.1073 0.3231
Hg1 0.5000 0.5000 0.5000
Os1 0.0000 0.0000 0.0000